Entry 1:
The following is a PBE-GGA calculation of Er3Zr2TaN6 after structural relaxation, from the Alexandria database. Values from VASP.

Computed properties:
ρ: 10.32 Mg/m³
Raw total energy: -9.36 eV per atom

```
&SYSTEM
  ibrav = 0, nat = 12, ntyp = 4
/
ATOMIC_SPECIES
Er 167.26 Er.upf
Zr 91.22 Zr.upf
Ta 180.95 Ta.upf
N 14.01 N.upf
CELL_PARAMETERS angstrom
2.848 -4.930 0.000
2.848 4.930 0.000
-1.902 0.000 5.441
ATOMIC_POSITIONS crystal
Er 0.000 0.000 0.000
Er 0.333 0.667 0.000
Er 0.667 0.333 0.000
Zr 0.167 0.833 0.500
Zr 0.833 0.167 0.500
Ta 0.500 0.500 0.500
N 0.098 0.422 0.267
N 0.254 0.254 0.736
N 0.422 0.098 0.267
N 0.578 0.902 0.733
N 0.746 0.746 0.264
N 0.902 0.578 0.733
```

Entry 2:
The following is a PBE-GGA calculation of Tm3Zn2Pt3 after structural relaxation, from the Alexandria database. Values from VASP.

Computed properties:
ρ: 12.53 Mg/m³
Raw total energy: -5.24 eV per atom

```
&SYSTEM
  ibrav = 0, nat = 16, ntyp = 3
/
ATOMIC_SPECIES
Tm 168.93 Tm.upf
Zn 65.41 Zn.upf
Pt 195.08 Pt.upf
CELL_PARAMETERS angstrom
8.229 0.000 0.000
-4.115 7.127 0.000
0.000 0.000 5.526
ATOMIC_POSITIONS crystal
Tm 0.000 0.276 0.250
Tm 0.000 0.724 0.750
Tm 0.276 0.000 0.250
Tm 0.276 0.276 0.750
Tm 0.724 0.000 0.750
Tm 0.724 0.724 0.250
Zn 0.333 0.667 0.000
Zn 0.333 0.667 0.500
Zn 0.667 0.333 0.000
Zn 0.667 0.333 0.500
Pt 0.000 0.384 0.750
Pt 0.000 0.616 0.250
Pt 0.384 0.000 0.750
Pt 0.384 0.384 0.250
Pt 0.616 0.000 0.250
Pt 0.616 0.616 0.750
```

Entry 3:
The following is a PBE-GGA calculation of Pm5Y2Er after structural relaxation, from the Alexandria database. Values from VASP.

Computed properties:
ρ: 6.49 Mg/m³
Raw total energy: -5.03 eV per atom
Polymorph energy (0 for the lowest one): 0.000 eV/atom

```
&SYSTEM
  ibrav = 0, nat = 16, ntyp = 3
/
ATOMIC_SPECIES
Pm 145.00 Pm.upf
Y 88.91 Y.upf
Er 167.26 Er.upf
CELL_PARAMETERS angstrom
2.812 -5.981 0.000
2.812 5.981 0.000
0.000 0.000 16.282
ATOMIC_POSITIONS crystal
Pm 0.037 0.963 0.750
Pm 0.116 0.884 0.053
Pm 0.116 0.884 0.447
Pm 0.422 0.578 0.091
Pm 0.422 0.578 0.409
Pm 0.578 0.422 0.591
Pm 0.578 0.422 0.909
Pm 0.884 0.116 0.553
Pm 0.884 0.116 0.947
Pm 0.963 0.037 0.250
Y 0.275 0.725 0.632
Y 0.275 0.725 0.868
Y 0.725 0.275 0.132
Y 0.725 0.275 0.368
Er 0.242 0.758 0.250
Er 0.758 0.242 0.750
```

Entry 4:
The following is a PBE-GGA calculation of KLaSiN2 after structural relaxation, from the Alexandria database. Values from VASP.

Computed properties:
ρ: 3.49 Mg/m³
Raw total energy: -3.47 eV per atom

```
&SYSTEM
  ibrav = 0, nat = 5, ntyp = 4
/
ATOMIC_SPECIES
K 39.10 K.upf
La 138.91 La.upf
Si 28.09 Si.upf
N 14.01 N.upf
CELL_PARAMETERS angstrom
4.515 0.000 0.000
0.000 4.515 0.000
0.000 0.000 5.473
ATOMIC_POSITIONS crystal
K 0.000 0.000 0.000
La 0.000 0.000 0.500
Si 0.500 0.500 0.500
N 0.000 0.500 0.000
N 0.500 0.000 0.000
```

Entry 5:
The following is a PBE-GGA calculation of Li2NpReO6 after structural relaxation, from the Alexandria database. Values from VASP.

Computed properties:
ρ: 7.61 Mg/m³
Raw total energy: -8.08 eV per atom

```
&SYSTEM
  ibrav = 0, nat = 10, ntyp = 4
/
ATOMIC_SPECIES
Li 6.94 Li.upf
Np 237.00 Np.upf
Re 186.21 Re.upf
O 16.00 O.upf
CELL_PARAMETERS angstrom
2.653 1.531 4.771
-2.653 1.531 4.771
0.000 -3.063 4.771
ATOMIC_POSITIONS crystal
Li 0.000 0.000 0.000
Li 0.497 0.497 0.497
Np 0.216 0.216 0.216
Re 0.715 0.715 0.715
O 0.080 0.825 0.465
O 0.346 0.609 0.937
O 0.465 0.080 0.825
O 0.609 0.937 0.346
O 0.825 0.465 0.080
O 0.937 0.346 0.609
```

Entry 6:
The following is a PBE-GGA calculation of LaY2BeAg after structural relaxation, from the Alexandria database. Values from VASP.

Computed properties:
ρ: 4.87 Mg/m³
Raw total energy: -4.58 eV per atom

```
&SYSTEM
  ibrav = 0, nat = 5, ntyp = 4
/
ATOMIC_SPECIES
La 138.91 La.upf
Y 88.91 Y.upf
Be 9.01 Be.upf
Ag 107.87 Ag.upf
CELL_PARAMETERS angstrom
5.250 0.000 0.000
0.000 5.250 0.000
0.000 0.000 5.359
ATOMIC_POSITIONS crystal
La 0.000 0.000 0.000
Y 0.000 0.500 0.500
Y 0.500 0.000 0.500
Be 0.000 0.000 0.500
Ag 0.500 0.500 0.000
```